Arrangement one

The following is a DFT calculation (meta-GGA SCAN) of a PBEsol-optimized structure of YScTc.

a b c (Å): 3.3449 3.3449 6.2200
angles (deg): 105.55 105.55 90.18
Positions (direct):
Y 0.6948 0.6948 0.3895
Sc 0.9628 0.9628 0.9257
Tc 0.3424 0.3424 0.6848

The total magnetization is 0.0 Bohr magnetons per cell. Its space-group type is No. 42.



Arrangement two

The following is a DFT calculation (meta-GGA SCAN) of a PBEsol-optimized structure of YScTc.

a b c (Å): 3.4114 4.5555 4.5555
angles (deg): 120.00 90.00 90.00
Positions (direct):
Sc 0.8937 0.0000 0.0000
Tc 0.7551 0.6667 0.3333
Y 0.3512 0.3333 0.6667

The total magnetization is 0.0 Bohr magnetons per cell. Its space-group type is No. 156.



arrangement one is favored, and the nearest alternative lies 0.172 eV/atom above it.



Arrangement one

The following is a DFT calculation (meta-GGA SCAN) of a PBEsol-optimized structure of ScTe2W.

a b c (Å): 3.4873 4.6105 5.2108
angles (deg): 90.00 90.00 90.00
Positions (direct):
Sc 0.1249 0.7555 0.5000
Te 0.1250 0.9702 0.0000
Te 0.6250 0.2799 0.5000
W 0.6252 0.4943 0.0000

The total magnetization is 0.0 Bohr magnetons per cell. Its space-group type is No. 25.



Arrangement two

The following is a DFT calculation (meta-GGA SCAN) of a PBEsol-optimized structure of ScTe2W.

a b c (Å): 4.9002 4.9002 4.9002
angles (deg): 60.00 60.00 60.00
Positions (direct):
Sc 0.5000 0.5000 0.5000
Te 0.0000 0.0000 0.0000
Te 0.2500 0.2500 0.2500
W 0.7500 0.7500 0.7500

The total magnetization is 0.0 Bohr magnetons per cell. Its space-group type is No. 216.



arrangement one is favored, and the nearest alternative lies 0.598 eV/atom above it.



Arrangement one

The following is a DFT calculation (meta-GGA SCAN) of a PBEsol-optimized structure of Sc5Tl3.

a b c (Å): 4.8253 6.2487 6.2487
angles (deg): 106.89 90.00 90.00
Site moments in Bohr magnetons follow the coordinates.
Positions (direct):
Sc 0.0000 0.0000 0.0000  0.52
Sc 0.0000 0.0000 0.5000  0.18
Sc 0.0000 0.5000 0.0000  0.18
Sc 0.5000 0.2829 0.2829  0.15
Sc 0.5000 0.7171 0.7171  0.15
Tl 0.0000 0.5000 0.5000  0.01
Tl 0.5000 0.7913 0.2087  0.01
Tl 0.5000 0.2087 0.7913  0.01

The total magnetization is 1.9 Bohr magnetons per cell. Its space-group type is No. 65.



Arrangement two

The following is a DFT calculation (meta-GGA SCAN) of a PBEsol-optimized structure of Sc5Tl3.

a b c (Å): 5.7033 8.4658 8.4658
angles (deg): 83.49 70.32 70.32
Site moments in Bohr magnetons follow the coordinates.
Positions (direct):
Sc 0.2500 0.5000 0.5000  -0.09
Sc 0.7500 0.5000 0.5000  -0.09
Sc 0.9196 0.8589 0.3018  -0.08
Sc 0.0804 0.1411 0.6982  -0.08
Sc 0.4196 0.3018 0.8589  -0.08
Sc 0.5804 0.6982 0.1411  -0.08
Sc 0.7215 0.8589 0.6982  -0.08
Sc 0.2785 0.1411 0.3018  -0.08
Sc 0.7785 0.3018 0.1411  -0.08
Sc 0.2215 0.6982 0.8589  -0.08
Tl 0.2500 0.0000 0.0000  0.00
Tl 0.7500 0.0000 0.0000  0.00
Tl 0.8377 0.5000 0.8246  0.00
Tl 0.1623 0.5000 0.1754  0.00
Tl 0.3377 0.8246 0.5000  0.00
Tl 0.6623 0.1754 0.5000  0.00

The total magnetization is 1.4 Bohr magnetons per cell. Its space-group type is No. 140.



arrangement two is favored, and the nearest alternative lies 0.084 eV/atom above it.



Arrangement one

The following is a DFT calculation (meta-GGA SCAN) of a PBEsol-optimized structure of ScTl2Zn.

a b c (Å): 5.0077 5.0077 5.0077
angles (deg): 60.00 60.00 60.00
Positions (direct):
Sc 0.5000 0.5000 0.5000
Tl 0.0000 0.0000 0.0000
Tl 0.7500 0.7500 0.7500
Zn 0.2500 0.2500 0.2500

The total magnetization is 0.0 Bohr magnetons per cell. Its space-group type is No. 216.



Arrangement two

The following is a DFT calculation (meta-GGA SCAN) of a PBEsol-optimized structure of ScTl2Zn.

a b c (Å): 3.2728 4.5032 5.9859
angles (deg): 90.00 96.24 90.00
Positions (direct):
Sc 0.0000 0.5000 0.5000
Tl 0.6504 0.0000 0.7534
Tl 0.3496 0.0000 0.2466
Zn 0.5000 0.5000 0.0000

The total magnetization is 0.0 Bohr magnetons per cell. Its space-group type is No. 10.



Arrangement three

The following is a DFT calculation (meta-GGA SCAN) of a PBEsol-optimized structure of ScTl2Zn.

a b c (Å): 3.5514 3.5514 6.8342
angles (deg): 90.00 90.00 94.55
Site moments in Bohr magnetons follow the coordinates.
Positions (direct):
Sc 0.5000 0.5000 0.0000  0.35
Tl 0.0000 0.0000 0.2672  0.01
Tl 0.0000 0.0000 0.7328  0.01
Zn 0.5000 0.5000 0.5000  0.01

The total magnetization is 0.6 Bohr magnetons per cell. Its space-group type is No. 65.



arrangement two is favored, and the nearest alternative lies 0.012 eV/atom above it.



Arrangement one

The following is a DFT calculation (meta-GGA SCAN) of a PBEsol-optimized structure of Sc2W.

a b c (Å): 2.8505 2.8505 7.4836
angles (deg): 100.98 100.98 90.00
Positions (direct):
Sc 0.6520 0.6520 0.3040
Sc 0.3480 0.3480 0.6960
W 0.0000 0.0000 0.0000

The total magnetization is 0.0 Bohr magnetons per cell. Its space-group type is No. 139.



Arrangement two

The following is a DFT calculation (meta-GGA SCAN) of a PBEsol-optimized structure of Sc2W.

a b c (Å): 4.5208 4.8609 5.8240
angles (deg): 65.33 90.00 90.00
Positions (direct):
Sc 0.7500 0.5793 0.8415
Sc 0.2500 0.4207 0.1585
Sc 0.7500 0.2400 0.5200
Sc 0.2500 0.7600 0.4800
W 0.7500 0.9369 0.1263
W 0.2500 0.0631 0.8737

The total magnetization is 0.0 Bohr magnetons per cell. Its space-group type is No. 63.



arrangement two is favored, and the nearest alternative lies 0.062 eV/atom above it.



Arrangement one

The following is a DFT calculation (meta-GGA SCAN) of a PBEsol-optimized structure of Sc3W.

a b c (Å): 2.9766 5.3226 5.3226
angles (deg): 110.68 90.00 90.00
Positions (direct):
Sc 0.0000 0.0000 0.0000
Sc 0.5000 0.0000 0.5000
Sc 0.5000 0.5000 0.0000
W 0.0000 0.5000 0.5000

The total magnetization is 0.0 Bohr magnetons per cell. Its space-group type is No. 65.



Arrangement two

The following is a DFT calculation (meta-GGA SCAN) of a PBEsol-optimized structure of Sc3W.

a b c (Å): 4.2967 4.2967 4.2967
angles (deg): 90.00 90.00 90.00
Positions (direct):
Sc 0.0000 0.0000 0.5000
Sc 0.0000 0.5000 0.0000
Sc 0.5000 0.0000 0.0000
W 0.5000 0.5000 0.5000

The total magnetization is 0.0 Bohr magnetons per cell. Its space-group type is No. 221.



Arrangement three

The following is a DFT calculation (meta-GGA SCAN) of a PBEsol-optimized structure of Sc3W.

a b c (Å): 3.0297 3.0297 10.3390
angles (deg): 81.57 81.57 60.00
Site moments in Bohr magnetons follow the coordinates.
Positions (direct):
Sc 0.7573 0.7573 0.7282  0.02
Sc 0.0000 0.0000 0.0000  0.39
Sc 0.2427 0.2427 0.2718  0.02
W 0.5000 0.5000 0.5000  0.06

The total magnetization is 0.7 Bohr magnetons per cell. Its space-group type is No. 166.



arrangement two is favored, and the nearest alternative lies 0.055 eV/atom above it.



Arrangement one

The following is a DFT calculation (meta-GGA SCAN) of a PBEsol-optimized structure of YScW2.

a b c (Å): 2.9564 4.4236 6.1079
angles (deg): 90.00 101.31 90.00
Positions (direct):
Sc 0.2446 0.5000 0.7863
W 0.9715 0.0000 0.0207
W 0.7924 0.5000 0.2111
Y 0.4915 0.0000 0.4819

The total magnetization is 0.0 Bohr magnetons per cell. Its space-group type is No. 6.



Arrangement two

The following is a DFT calculation (meta-GGA SCAN) of a PBEsol-optimized structure of YScW2.

a b c (Å): 2.7929 5.5960 5.5960
angles (deg): 120.25 90.00 90.00
Positions (direct):
Sc 0.5000 0.5000 0.5000
W 0.0000 0.5000 0.0000
W 0.0000 0.0000 0.5000
Y 0.5000 0.0000 0.0000

The total magnetization is 0.0 Bohr magnetons per cell. Its space-group type is No. 65.



Arrangement three

The following is a DFT calculation (meta-GGA SCAN) of a PBEsol-optimized structure of YScW2.

a b c (Å): 2.7972 4.5793 5.9533
angles (deg): 90.00 90.00 90.00
Positions (direct):
Sc 0.5000 0.5000 0.7676
W 0.0000 0.0000 0.0174
W 0.5000 0.5000 0.2183
Y 0.0000 0.0000 0.4966

The total magnetization is 0.0 Bohr magnetons per cell. Its space-group type is No. 25.



arrangement one is favored, and the nearest alternative lies 0.193 eV/atom above it.



Arrangement one

The following is a DFT calculation (meta-GGA SCAN) of a PBEsol-optimized structure of YScW2.

a b c (Å): 4.7537 4.7537 4.7537
angles (deg): 60.00 60.00 60.00
Positions (direct):
Sc 0.0000 0.0000 0.0000
W 0.7500 0.7500 0.7500
W 0.2500 0.2500 0.2500
Y 0.5000 0.5000 0.5000

The total magnetization is 0.0 Bohr magnetons per cell. Its space-group type is No. 225.



Arrangement two

The following is a DFT calculation (meta-GGA SCAN) of a PBEsol-optimized structure of YScW2.

a b c (Å): 2.9250 2.9250 9.8710
angles (deg): 90.00 90.00 111.51
Positions (direct):
Sc 0.5000 0.5000 0.2124
W 0.0000 0.0000 0.9816
W 0.5000 0.5000 0.7785
Y 0.0000 0.0000 0.5274

The total magnetization is 0.0 Bohr magnetons per cell. Its space-group type is No. 35.



arrangement two is favored, and the nearest alternative lies 0.487 eV/atom above it.



Arrangement one

The following is a DFT calculation (meta-GGA SCAN) of a PBEsol-optimized structure of ZrSc2W.

a b c (Å): 2.8699 4.6255 5.9895
angles (deg): 90.00 90.00 90.00
Positions (direct):
Sc 0.0000 0.0000 0.9994
Sc 0.5000 0.5000 0.2682
W 0.0000 0.0000 0.5000
Zr 0.5000 0.5000 0.7324

The total magnetization is 0.0 Bohr magnetons per cell. Its space-group type is No. 25.



Arrangement two

The following is a DFT calculation (meta-GGA SCAN) of a PBEsol-optimized structure of ZrSc2W.

a b c (Å): 4.1000 4.1000 4.7126
angles (deg): 90.00 90.00 90.00
Positions (direct):
Sc 0.0000 0.5000 0.0000
Sc 0.5000 0.0000 0.0000
W 0.5000 0.5000 0.5000
Zr 0.0000 0.0000 0.5000

The total magnetization is 0.0 Bohr magnetons per cell. Its space-group type is No. 123.



arrangement two is favored, and the nearest alternative lies 0.054 eV/atom above it.



Arrangement one

The following is a DFT calculation (meta-GGA SCAN) of a PBEsol-optimized structure of ZrScW2.

a b c (Å): 3.9128 3.9128 5.4605
angles (deg): 110.99 110.99 90.00
Positions (direct):
Sc 0.0000 0.0000 0.0000
W 0.7500 0.2500 0.5000
W 0.2500 0.7500 0.5000
Zr 0.5000 0.5000 0.0000

The total magnetization is 0.0 Bohr magnetons per cell. Its space-group type is No. 139.



Arrangement two

The following is a DFT calculation (meta-GGA SCAN) of a PBEsol-optimized structure of ZrScW2.

a b c (Å): 4.6615 4.6615 4.6615
angles (deg): 60.00 60.00 60.00
Positions (direct):
Sc 0.0000 0.0000 0.0000
W 0.2500 0.2500 0.2500
W 0.7500 0.7500 0.7500
Zr 0.5000 0.5000 0.5000

The total magnetization is 0.0 Bohr magnetons per cell. Its space-group type is No. 225.



arrangement one is favored, and the nearest alternative lies 0.093 eV/atom above it.



Arrangement one

The following is a DFT calculation (meta-GGA SCAN) of a PBEsol-optimized structure of YSc5.

a b c (Å): 3.3237 5.1584 8.7939
angles (deg): 90.00 100.89 90.00
Site moments in Bohr magnetons follow the coordinates.
Positions (direct):
Y 0.8884 0.5000 0.7767  0.28
Sc 0.0033 0.0000 0.0067  0.31
Sc 0.6662 0.0000 0.3324  0.33
Sc 0.3304 0.0000 0.6609  0.27
Sc 0.5589 0.5000 0.1179  0.30
Sc 0.2194 0.5000 0.4388  0.28

The total magnetization is 3.0 Bohr magnetons per cell. Its space-group type is No. 38.



Arrangement two

The following is a DFT calculation (meta-GGA SCAN) of a PBEsol-optimized structure of YSc5.

a b c (Å): 3.2714 3.2714 13.7573
angles (deg): 90.00 90.00 90.00
Site moments in Bohr magnetons follow the coordinates.
Positions (direct):
Y 0.5000 0.5000 0.5000  -0.02
Sc 0.0000 0.0000 0.6770  0.23
Sc 0.5000 0.5000 0.8383  0.08
Sc 0.0000 0.0000 0.0000  -0.30
Sc 0.5000 0.5000 0.1617  0.08
Sc 0.0000 0.0000 0.3230  0.23

The total magnetization is 0.5 Bohr magnetons per cell. Its space-group type is No. 123.



arrangement one is favored, and the nearest alternative lies 0.060 eV/atom above it.



Arrangement one

The following is a DFT calculation (meta-GGA SCAN) of a PBEsol-optimized structure of YSc5.

a b c (Å): 3.3265 6.1344 7.7169
angles (deg): 102.28 90.00 105.73
Site moments in Bohr magnetons follow the coordinates.
Positions (direct):
Y 0.7200 0.4399 0.9410  0.15
Sc 0.9973 0.9946 0.0060  -0.14
Sc 0.3912 0.7824 0.2839  -0.21
Sc 0.6669 0.3338 0.3370  0.20
Sc 0.0539 0.1079 0.6052  0.06
Sc 0.3374 0.6748 0.6604  -0.09

The total magnetization is 0.1 Bohr magnetons per cell. Its space-group type is No. 8.



Arrangement two

The following is a DFT calculation (meta-GGA SCAN) of a PBEsol-optimized structure of YSc5.

a b c (Å): 5.1501 5.7641 5.7641
angles (deg): 120.00 90.00 90.00
Site moments in Bohr magnetons follow the coordinates.
Positions (direct):
Y 0.5000 0.0000 0.0000  0.30
Sc 0.0000 0.6586 0.0000  0.32
Sc 0.0000 0.0000 0.6586  0.32
Sc 0.0000 0.3414 0.3414  0.32
Sc 0.5000 0.3333 0.6667  0.30
Sc 0.5000 0.6667 0.3333  0.30

The total magnetization is 3.2 Bohr magnetons per cell. Its space-group type is No. 189.



arrangement two is favored, and the nearest alternative lies 0.006 eV/atom above it.